# 1
## Pm2PrHoS4 (PBE)

Data for a geometry-optimized Pm2PrHoS4 structure.

Properties
energy: -0.2362 Ha/atom
magnetic moment: 0.00 Bohr magnetons per cell
space group: No. 10

The structure in POSCAR format:
```
Pm2PrHoS4
1.0
3.972 0.000 0.000
0.000 6.950 -0.159
0.000 2.428 6.585
S Pm Ho Pr
4 2 1 1
Direct
0.000 0.749 0.740
0.500 0.742 0.262
0.000 0.251 0.260
0.500 0.258 0.738
0.500 0.000 0.500
0.000 0.000 0.000
0.000 0.500 0.500
0.500 0.500 0.000
```

=====

# 2
## Pm4PrHo3S8 (PBE)

Data for a geometry-optimized Pm4PrHo3S8 structure.

Properties
energy: -0.2356 Ha/atom
magnetic moment: 0.00 Bohr magnetons per cell
space group: No. 166

The structure in POSCAR format:
```
Pm4PrHo3S8
1.0
-2.854 -6.681 3.259
6.782 -3.804 -1.858
0.262 6.716 4.270
S Ho Pm Pr
8 3 4 1
Direct
0.252 0.742 0.990
0.263 0.258 0.010
0.737 0.742 0.990
0.745 0.735 0.490
0.252 0.742 0.504
0.748 0.258 0.010
0.748 0.258 0.496
0.255 0.265 0.510
0.500 0.500 0.000
0.500 0.500 0.500
0.000 0.500 0.500
0.500 0.000 0.000
0.500 0.000 0.500
0.000 0.000 0.500
0.000 0.000 0.000
0.000 0.500 0.000
```

=====

# 3
## PmPr3Ho2S6 (PBE)

Data for a geometry-optimized PmPr3Ho2S6 structure.

Properties
energy: -0.2363 Ha/atom
magnetic moment: 0.00 Bohr magnetons per cell
space group: No. 12

The structure in POSCAR format:
```
PmPr3Ho2S6
1.0
-5.018 4.339 -2.002
0.759 -1.587 6.703
5.568 4.216 -0.825
S Pm Pr Ho
6 1 3 2
Direct
0.735 0.735 0.232
0.420 0.078 0.235
0.580 0.922 0.765
0.078 0.420 0.235
0.265 0.265 0.768
0.922 0.580 0.765
0.000 0.000 0.000
0.163 0.837 0.500
0.837 0.163 0.500
0.500 0.500 0.500
0.666 0.334 0.000
0.334 0.666 0.000
```

=====

# 4
## Pm2Pr3HoS6 (PBE)

Data for a geometry-optimized Pm2Pr3HoS6 structure.

Properties
energy: -0.2372 Ha/atom
magnetic moment: 0.00 Bohr magnetons per cell
space group: No. 12

The structure in POSCAR format:
```
Pm2Pr3HoS6
1.0
6.996 -0.010 -0.001
-3.505 6.055 -0.001
-1.166 -2.018 6.635
Pm S Pr Ho
2 6 3 1
Direct
0.667 0.333 0.000
0.333 0.667 0.000
0.921 0.596 0.762
0.596 0.921 0.762
0.244 0.244 0.759
0.756 0.756 0.241
0.404 0.079 0.238
0.079 0.404 0.238
0.500 0.500 0.500
0.829 0.171 0.500
0.171 0.829 0.500
0.000 0.000 0.000
```

=====

# 5
## PmPr4Ho3S8 (PBE)

Data for a geometry-optimized PmPr4Ho3S8 structure.

Properties
energy: -0.2359 Ha/atom
magnetic moment: 0.00 Bohr magnetons per cell
space group: No. 166

The structure in POSCAR format:
```
PmPr4Ho3S8
1.0
-4.143 6.547 -1.838
-5.423 -4.541 -3.953
1.677 -1.645 7.609
S Pr Pm Ho
8 4 1 3
Direct
0.752 0.267 0.505
0.752 0.267 0.015
0.248 0.733 0.985
0.737 0.733 0.985
0.248 0.733 0.495
0.263 0.267 0.015
0.743 0.728 0.485
0.257 0.272 0.515
0.500 0.000 0.500
0.500 0.000 0.000
0.000 0.000 0.500
0.000 0.000 0.000
0.000 0.500 0.000
0.500 0.500 0.500
0.000 0.500 0.500
0.500 0.500 0.000
```

=====

# 6
## PmPr2Ho3Sb6 (PBE)

Data for a geometry-optimized PmPr2Ho3Sb6 structure.

Properties
energy: -0.2038 Ha/atom
magnetic moment: 0.00 Bohr magnetons per cell
space group: No. 12

The structure in POSCAR format:
```
PmPr2Ho3Sb6
1.0
-4.316 0.184 1.090
-0.904 -8.595 -2.123
4.521 -0.383 8.856
Ho Sb Pm Pr
3 6 1 2
Direct
0.500 0.500 0.000
0.833 0.167 0.666
0.167 0.833 0.334
0.332 0.924 0.663
0.664 0.590 0.328
0.997 0.254 0.994
0.336 0.410 0.672
0.668 0.076 0.337
0.003 0.746 0.006
0.500 0.000 0.000
0.834 0.667 0.667
0.166 0.333 0.333
```

=====

# 7
## Pm3Pr2HoSb6 (PBE)

Data for a geometry-optimized Pm3Pr2HoSb6 structure.

Properties
energy: -0.2057 Ha/atom
magnetic moment: 0.00 Bohr magnetons per cell
space group: No. 12

The structure in POSCAR format:
```
Pm3Pr2HoSb6
1.0
-2.765 -2.349 -2.656
3.676 -7.654 2.943
-5.964 2.708 7.620
Sb Ho Pm Pr
6 1 3 2
Direct
0.334 0.414 0.668
0.336 0.921 0.672
0.664 0.079 0.328
0.666 0.586 0.332
0.002 0.757 0.004
0.998 0.243 0.996
0.500 0.000 0.000
0.832 0.166 0.664
0.168 0.834 0.336
0.500 0.500 0.000
0.166 0.332 0.331
0.834 0.668 0.669
```

=====

# 8
## PmPr2HoSb4 (PBE)

Data for a geometry-optimized PmPr2HoSb4 structure.

Properties
energy: -0.2054 Ha/atom
magnetic moment: 0.00 Bohr magnetons per cell
space group: No. 10

The structure in POSCAR format:
```
PmPr2HoSb4
1.0
4.499 0.000 0.000
0.000 7.781 -0.152
0.000 2.740 7.287
Sb Pm Pr Ho
4 1 2 1
Direct
0.500 0.259 0.743
0.000 0.743 0.749
0.000 0.257 0.251
0.500 0.741 0.257
0.500 0.500 0.000
0.000 0.000 0.000
0.500 0.000 0.500
0.000 0.500 0.500
```

=====

# 9
## Pm2PrHo4Sc (PBE)

Data for a geometry-optimized Pm2PrHo4Sc structure.

Properties
formation energy from the elements: 0.414 eV/atom
magnetic moment: 2.69 Bohr magnetons per cell
space group: No. 74

The structure in POSCAR format:
```
Pm2PrHo4Sc
1.0
9.260 -0.016 -1.763
-0.022 9.260 -1.763
-5.859 -5.863 8.301
Pm Ho Sc Pr
4 8 2 2
Direct
0.000 0.000 0.500
0.500 0.000 0.500
0.500 0.000 0.000
0.500 0.500 0.000
0.250 0.249 0.484
0.764 0.236 0.000
0.749 0.750 0.984
0.236 0.764 0.000
0.264 0.736 0.500
0.251 0.250 0.016
0.736 0.264 0.500
0.750 0.751 0.516
0.000 0.000 0.000
0.500 0.500 0.500
0.000 0.500 0.500
0.000 0.500 0.000
```

=====

# 10
## Pm2Pr4HoSc (PBE)

Data for a geometry-optimized Pm2Pr4HoSc structure.

Properties
formation energy from the elements: 0.029 eV/atom
magnetic moment: 0.00 Bohr magnetons per cell
space group: No. 47

The structure in POSCAR format:
```
Pm2Pr4HoSc
1.0
5.163 0.000 0.000
0.000 5.009 1.123
0.000 2.804 10.982
Ho Pr Sc Pm
1 4 1 2
Direct
0.500 0.500 0.000
0.500 0.254 0.746
0.000 0.245 0.255
0.500 0.746 0.254
0.000 0.755 0.745
0.000 0.500 0.500
0.000 0.000 0.000
0.500 0.000 0.500
```

=====

# 11
## Pm5PrHo2Sc (PBE)

Data for a geometry-optimized Pm5PrHo2Sc structure.

Properties
formation energy from the elements: 0.164 eV/atom
magnetic moment: 0.00 Bohr magnetons per cell
space group: No. 36

The structure in POSCAR format:
```
Pm5PrHo2Sc
1.0
-3.891 -1.229 3.901
2.308 -9.142 -4.662
7.584 -1.674 7.039
Pr Pm Ho Sc
2 10 4 2
Direct
0.591 0.182 0.957
0.409 0.818 0.457
0.724 0.448 0.821
0.625 0.249 0.519
0.375 0.751 0.019
0.484 0.968 0.742
0.702 0.404 0.208
0.276 0.552 0.321
0.516 0.032 0.242
0.298 0.596 0.708
0.983 0.966 0.516
0.017 0.034 0.016
0.116 0.232 0.736
0.884 0.768 0.236
0.887 0.774 0.810
0.113 0.226 0.310
0.195 0.390 0.014
0.805 0.610 0.514
```

=====

# 12
## PmPrHo2Sc (PBE)

Data for a geometry-optimized PmPrHo2Sc structure.

Properties
formation energy from the elements: 0.047 eV/atom
magnetic moment: 0.00 Bohr magnetons per cell
space group: No. 11

The structure in POSCAR format:
```
PmPrHo2Sc
1.0
5.022 0.000 0.000
0.000 7.667 1.817
0.000 -1.799 7.702
Pm Ho Sc Pr
2 4 2 2
Direct
0.250 0.945 0.847
0.750 0.055 0.153
0.750 0.646 0.953
0.250 0.161 0.447
0.250 0.354 0.047
0.750 0.839 0.553
0.250 0.548 0.650
0.750 0.452 0.350
0.250 0.744 0.259
0.750 0.256 0.741
```